one:
First-principles (GGA-PBE) data for BeRh2Cl after structural relaxation, as listed in Alexandria via LeMat-Bulk.

Results
The value obtained for the total magnetization is 0.00 μB/cell. The calculation puts the theoretical density at 6.61 Mg/m³.

Unit cell a=2.895 b=3.680 c=11.795 alpha=90.00 beta=90.07 gamma=90.00
Fractional positions:
Be: 0.251 0.603 0.253
Be: 0.749 0.103 0.747
Rh: 0.750 0.109 0.947
Rh: 0.250 0.609 0.053
Rh: 0.751 0.100 0.176
Rh: 0.249 0.600 0.824
Cl: 0.752 0.428 0.367
Cl: 0.248 0.928 0.633

two:
First-principles (GGA-PBE) data for BeRh2Cl after structural relaxation, as listed in Alexandria via LeMat-Bulk.

Results
The value obtained for the total magnetization is 0.00 μB/cell. The calculation puts the theoretical density at 7.14 Mg/m³.

Unit cell a=6.646 b=6.646 c=6.646 alpha=152.11 beta=154.87 gamma=37.89
Fractional positions:
Be: 0.545 0.545 0.000
Rh: 0.977 0.977 0.000
Rh: 0.663 0.163 0.500
Cl: 0.316 0.816 0.500

Short version: one is the most stable of them.

one:
First-principles (GGA-PBE) data for BeRh2Cl after structural relaxation, as listed in Alexandria via LeMat-Bulk.

Results
The value obtained for the total magnetization is 0.04 μB/cell. The calculation puts the theoretical density at 7.60 Mg/m³.

Unit cell a=7.132 b=7.132 c=7.132 alpha=24.46 beta=24.46 gamma=24.46
Fractional positions:
Be: 0.250 0.250 0.250
Rh: 0.986 0.986 0.986
Rh: 0.514 0.514 0.514
Cl: 0.750 0.750 0.750

two:
First-principles (GGA-PBE) data for BeRh2Cl after structural relaxation, as listed in Alexandria via LeMat-Bulk.

Results
The value obtained for the total magnetization is 0.00 μB/cell. The calculation puts the theoretical density at 6.60 Mg/m³.

Unit cell a=2.922 b=3.763 c=11.554 alpha=87.13 beta=82.92 gamma=90.00
Fractional positions:
Be: 0.540 0.806 0.006
Be: 0.311 0.231 0.479
Rh: 0.407 0.260 0.280
Rh: 0.036 0.305 0.015
Rh: 0.959 0.777 0.174
Rh: 0.848 0.742 0.402
Cl: 0.108 0.825 0.865
Cl: 0.753 0.355 0.598

three:
First-principles (GGA-PBE) data for BeRh2Cl after structural relaxation, as listed in Alexandria via LeMat-Bulk.

Results
The value obtained for the total magnetization is 1.83 μB/cell. The calculation puts the theoretical density at 6.74 Mg/m³.

Unit cell a=2.895 b=2.895 c=7.353 alpha=90.00 beta=90.00 gamma=90.00
Last column: magnetic moment on the atom in μB.
Fractional positions:
Be: 0.000 0.000 0.417  -0.02
Rh: 0.000 0.000 0.022  1.15
Rh: 0.500 0.500 0.273  0.52
Cl: 0.500 0.500 0.788  0.18

four:
First-principles (GGA-PBE) data for BeRh2Cl after structural relaxation, as listed in Alexandria via LeMat-Bulk.

Results
The value obtained for the total magnetization is 0.00 μB/cell. The calculation puts the theoretical density at 7.50 Mg/m³.

Unit cell a=2.823 b=4.888 c=4.017 alpha=90.00 beta=90.00 gamma=90.00
Fractional positions:
Be: 0.500 0.000 0.500
Rh: 0.000 0.000 0.000
Rh: 0.500 0.500 0.000
Cl: 0.000 0.500 0.500

Short version: two is the most stable of them.

one:
First-principles (GGA-PBE) data for BeRh2Cl after structural relaxation, as listed in Alexandria via LeMat-Bulk.

Results
The value obtained for the total magnetization is 0.00 μB/cell. The calculation puts the theoretical density at 7.54 Mg/m³.

Unit cell a=4.291 b=4.291 c=4.884 alpha=79.55 beta=79.55 gamma=38.65
Fractional positions:
Be: 0.750 0.750 0.750
Rh: 0.031 0.031 0.965
Rh: 0.469 0.469 0.535
Cl: 0.250 0.250 0.250

two:
First-principles (GGA-PBE) data for BeRh2Cl after structural relaxation, as listed in Alexandria via LeMat-Bulk.

Results
The value obtained for the total magnetization is 2.01 μB/cell. The calculation puts the theoretical density at 7.20 Mg/m³.

Unit cell a=4.338 b=4.338 c=4.338 alpha=60.00 beta=60.00 gamma=60.00
Last column: magnetic moment on the atom in μB.
Fractional positions:
Be: 0.500 0.500 0.500  0.01
Rh: 0.000 0.000 0.000  1.08
Rh: 0.250 0.250 0.250  0.75
Cl: 0.750 0.750 0.750  0.09

three:
First-principles (GGA-PBE) data for BeRh2Cl after structural relaxation, as listed in Alexandria via LeMat-Bulk.

Results
The value obtained for the total magnetization is 0.00 μB/cell. The calculation puts the theoretical density at 6.91 Mg/m³.

Unit cell a=14.797 b=4.051 c=4.049 alpha=90.00 beta=97.45 gamma=90.00
Fractional positions:
Be: 0.713 0.850 0.114
Be: 0.287 0.850 0.886
Be: 0.713 0.350 0.614
Be: 0.287 0.350 0.386
Rh: 0.062 0.350 0.279
Rh: 0.938 0.350 0.721
Rh: 0.062 0.850 0.779
Rh: 0.938 0.850 0.221
Rh: 0.815 0.350 0.162
Rh: 0.185 0.350 0.838
Rh: 0.815 0.850 0.662
Rh: 0.185 0.850 0.338
Cl: 0.617 0.600 0.319
Cl: 0.383 0.600 0.681
Cl: 0.617 0.100 0.819
Cl: 0.383 0.100 0.181

Short version: three is the most stable of them.

one:
First-principles (GGA-PBE) data for BeRh2Cl after structural relaxation, as listed in Alexandria via LeMat-Bulk.

Results
The value obtained for the total magnetization is 0.00 μB/cell. The calculation puts the theoretical density at 7.77 Mg/m³.

Unit cell a=2.862 b=2.863 c=6.530 alpha=90.00 beta=90.00 gamma=90.05
Fractional positions:
Be: 0.500 0.500 0.250
Rh: 0.000 0.000 0.044
Rh: 0.000 0.000 0.456
Cl: 0.500 0.500 0.750

two:
First-principles (GGA-PBE) data for BeRh2Cl after structural relaxation, as listed in Alexandria via LeMat-Bulk.

Results
The value obtained for the total magnetization is 0.00 μB/cell. The calculation puts the theoretical density at 7.00 Mg/m³.

Unit cell a=7.254 b=7.254 c=2.869 alpha=66.80 beta=66.80 gamma=25.45
Fractional positions:
Be: 0.456 0.456 0.586
Rh: 0.025 0.025 0.951
Rh: 0.841 0.841 0.820
Cl: 0.179 0.179 0.143

three:
First-principles (GGA-PBE) data for BeRh2Cl after structural relaxation, as listed in Alexandria via LeMat-Bulk.

Results
The value obtained for the total magnetization is 0.00 μB/cell. The calculation puts the theoretical density at 7.05 Mg/m³.

Unit cell a=3.377 b=2.893 c=6.205 alpha=76.68 beta=90.00 gamma=90.00
Fractional positions:
Be: 0.000 0.613 0.402
Rh: 0.000 0.798 0.027
Rh: 0.500 0.150 0.324
Cl: 0.500 0.939 0.748

four:
First-principles (GGA-PBE) data for BeRh2Cl after structural relaxation, as listed in Alexandria via LeMat-Bulk.

Results
The value obtained for the total magnetization is 0.00 μB/cell. The calculation puts the theoretical density at 7.45 Mg/m³.

Unit cell a=5.418 b=5.418 c=5.418 alpha=149.49 beta=135.99 gamma=54.50
Fractional positions:
Be: 0.750 0.250 0.500
Rh: 0.942 0.942 0.000
Rh: 0.558 0.558 0.000
Cl: 0.250 0.750 0.500

Short version: two is the most stable of them.

one:
First-principles (GGA-PBE) data for BeRh2Cl after structural relaxation, as listed in Alexandria via LeMat-Bulk.

Results
The value obtained for the total magnetization is 0.00 μB/cell. The calculation puts the theoretical density at 7.44 Mg/m³.

Unit cell a=2.836 b=2.894 c=8.930 alpha=49.65 beta=90.00 gamma=90.00
Fractional positions:
Be: 0.500 0.250 0.250
Rh: 0.000 0.140 0.055
Rh: 0.000 0.360 0.445
Cl: 0.500 0.750 0.750

two:
First-principles (GGA-PBE) data for BeRh2Cl after structural relaxation, as listed in Alexandria via LeMat-Bulk.

Results
The value obtained for the total magnetization is 0.00 μB/cell. The calculation puts the theoretical density at 6.52 Mg/m³.

Unit cell a=2.921 b=3.637 c=12.195 alpha=97.00 beta=97.55 gamma=90.00
Fractional positions:
Be: 0.887 0.343 0.249
Be: 0.113 0.657 0.751
Rh: 0.222 0.730 0.949
Rh: 0.778 0.270 0.051
Rh: 0.346 0.819 0.174
Rh: 0.654 0.181 0.826
Cl: 0.449 0.221 0.362
Cl: 0.551 0.779 0.638

three:
First-principles (GGA-PBE) data for BeRh2Cl after structural relaxation, as listed in Alexandria via LeMat-Bulk.

Results
The value obtained for the total magnetization is 0.00 μB/cell. The calculation puts the theoretical density at 7.02 Mg/m³.

Unit cell a=3.993 b=3.993 c=7.947 alpha=75.45 beta=75.45 gamma=90.00
Fractional positions:
Be: 0.500 0.500 0.000
Be: 0.250 0.750 0.500
Rh: 0.619 0.125 0.250
Rh: 0.131 0.625 0.250
Rh: 0.375 0.381 0.750
Rh: 0.875 0.869 0.750
Cl: 0.000 0.000 0.000
Cl: 0.750 0.250 0.500

Short version: two is the most stable of them.

one:
First-principles (GGA-PBE) data for BeRh2Cl after structural relaxation, as listed in Alexandria via LeMat-Bulk.

Results
The value obtained for the total magnetization is 0.75 μB/cell. The calculation puts the theoretical density at 6.34 Mg/m³.

Unit cell a=2.894 b=3.663 c=12.448 alpha=89.89 beta=83.62 gamma=90.00
Last column: magnetic moment on the atom in μB.
Fractional positions:
Be: 0.283 0.966 0.091  0.00
Be: 0.099 0.962 0.475  0.00
Rh: 0.190 0.964 0.284  0.30
Rh: 0.332 0.465 0.987  0.01
Rh: 0.745 0.465 0.170  0.08
Rh: 0.641 0.464 0.387  0.33
Cl: 0.903 0.460 0.838  0.00
Cl: 0.545 0.954 0.588  0.02

two:
First-principles (GGA-PBE) data for BeRh2Cl after structural relaxation, as listed in Alexandria via LeMat-Bulk.

Results
The value obtained for the total magnetization is 0.00 μB/cell. The calculation puts the theoretical density at 7.04 Mg/m³.

Unit cell a=2.856 b=2.856 c=8.389 alpha=90.00 beta=90.00 gamma=120.39
Fractional positions:
Be: 0.000 0.000 0.508
Rh: 0.000 0.000 0.024
Rh: 0.500 0.500 0.289
Cl: 0.500 0.500 0.679

three:
First-principles (GGA-PBE) data for BeRh2Cl after structural relaxation, as listed in Alexandria via LeMat-Bulk.

Results
The value obtained for the total magnetization is 0.00 μB/cell. The calculation puts the theoretical density at 6.63 Mg/m³.

Unit cell a=3.640 b=2.920 c=11.877 alpha=90.00 beta=96.74 gamma=90.00
Fractional positions:
Be: 0.662 0.250 0.747
Be: 0.338 0.750 0.253
Rh: 0.731 0.250 0.948
Rh: 0.269 0.750 0.052
Rh: 0.815 0.250 0.177
Rh: 0.185 0.750 0.823
Cl: 0.214 0.250 0.368
Cl: 0.786 0.750 0.632

Short version: three is the most stable of them.